Record 1
## Cs4K3Rb7 (GGA-PBE)

Data for Cs4K3Rb7 after structural relaxation.

Properties
**Density**: 1.60 g cm⁻³

Cell: 8.0570 12.7264 13.9999 Å, 89.64 73.28 71.55°
Element x y z (fractional)
Cs 0.7165 0.3540 0.2130
Cs 0.2835 0.6460 0.7870
Cs 0.8553 0.9271 0.3623
Cs 0.1447 0.0729 0.6377
K 0.2836 0.1502 0.2826
K 0.7164 0.8498 0.7174
K 0.0000 0.5000 0.5000
Rb 0.4346 0.7039 0.4268
Rb 0.4338 0.2055 0.9268
Rb 0.8571 0.4321 0.8537
Rb 0.5654 0.2961 0.5732
Rb 0.1429 0.5679 0.1463
Rb 0.0000 0.0000 0.0000
Rb 0.5662 0.7945 0.0732

***

Record 2
## CsK3Rb6 (GGA-PBE)

Data for CsK3Rb6 after structural relaxation.

Properties
**Density**: 1.41 g cm⁻³

Cell: 13.2362 12.3251 12.3251 Å, 116.42 90.00 90.00°
Element x y z (fractional)
Cs 0.9815 0.2788 0.7212
Cs 0.4815 0.7212 0.2788
K 0.4633 0.9364 0.7148
K 0.9633 0.7148 0.9364
K 0.3553 0.5001 0.4999
K 0.8553 0.4999 0.5001
K 0.9633 0.0636 0.2852
K 0.4633 0.2852 0.0636
Rb 0.1183 0.8665 0.7037
Rb 0.6183 0.7037 0.8665
Rb 0.2889 0.5035 0.8829
Rb 0.7889 0.8829 0.5035
Rb 0.2977 0.9358 0.0642
Rb 0.6099 0.2866 0.7134
Rb 0.1099 0.7134 0.2866
Rb 0.7977 0.0642 0.9358
Rb 0.2889 0.1171 0.4965
Rb 0.7889 0.4965 0.1171
Rb 0.1183 0.2963 0.1335
Rb 0.6183 0.1335 0.2963

***

Record 3
## Cs2K3Rb8 (GGA-PBE)

Data for Cs2K3Rb8 after structural relaxation.

Properties
**Density**: 1.45 g cm⁻³

Cell: 4.9779 16.3441 17.1089 Å, 118.55 90.00 90.00°
Element x y z (fractional)
Cs 0.5000 0.2661 0.5305
Cs 0.5000 0.7339 0.4695
K 0.5000 0.0000 0.0000
K 0.0000 0.2399 0.9995
K 0.0000 0.7601 0.0005
Rb 0.0000 0.5796 0.1591
Rb 0.0000 0.4204 0.8409
Rb 0.0000 0.1214 0.2437
Rb 0.0000 0.8786 0.7563
Rb 0.5000 0.6033 0.7064
Rb 0.5000 0.1027 0.7046
Rb 0.5000 0.8973 0.2954
Rb 0.5000 0.3967 0.2936

***

How do the records compare in E_form? In the order shown, they have 7 36 37 meV per atom.